Run P
Density functional theory data (PBE) for an optimized crystal structure of ZrTlTe3Au.

```
ZrTlTe3Au
1.0
13.119 0.000 0.000
0.000 4.343 0.000
0.000 0.000 12.027
Zr Tl Te Au
4 4 12 4
Cartesian
0.120 1.086 2.187 Zr
6.440 3.258 8.200 Zr
6.679 1.086 3.827 Zr
13.000 3.258 9.841 Zr
2.682 1.086 5.484 Tl
3.878 3.258 11.497 Tl
9.242 1.086 0.530 Tl
10.437 3.258 6.544 Tl
0.148 3.258 4.188 Te
1.255 1.086 11.433 Te
2.618 3.258 8.249 Te
3.941 1.086 2.236 Te
5.304 3.258 5.419 Te
6.412 1.086 10.202 Te
6.707 3.258 1.826 Te
7.815 1.086 6.608 Te
9.178 3.258 9.792 Te
10.501 1.086 3.778 Te
11.864 3.258 0.594 Te
12.972 1.086 7.839 Te
2.380 3.258 2.699 Au
4.179 1.086 8.713 Au
8.940 3.258 3.314 Au
10.739 1.086 9.328 Au
```

Calculated density in kg/m³: 8484
Space group: No. 62

Run Q
Density functional theory data (PBE) for an optimized crystal structure of ZrTlTe3Au.

```
ZrTlTe3Au
1.0
8.455 0.000 0.000
0.000 4.466 0.000
0.000 0.000 18.279
Zr Tl Te Au
4 4 12 4
Cartesian
2.024 1.117 0.893 Zr
2.204 3.350 10.032 Zr
6.251 1.117 8.247 Zr
6.431 3.350 17.386 Zr
1.248 1.117 14.826 Tl
2.979 3.350 5.686 Tl
5.476 1.117 12.592 Tl
7.206 3.350 3.453 Tl
0.027 1.117 10.499 Te
1.062 3.350 17.492 Te
1.360 1.117 3.668 Te
2.868 3.350 12.807 Te
3.166 1.117 8.353 Te
4.200 3.350 1.360 Te
4.255 1.117 16.919 Te
5.289 3.350 9.926 Te
5.587 1.117 5.472 Te
7.095 3.350 14.611 Te
7.393 1.117 0.786 Te
8.427 3.350 7.780 Te
0.126 3.350 12.246 Au
4.101 1.117 3.106 Au
4.354 3.350 15.172 Au
8.329 1.117 6.033 Au
```

Calculated density in kg/m³: 8424
Space group: No. 62

Which structure is the least stable? The one labeled run Q.

Run P
Density functional theory data (PBE) for an optimized crystal structure of ThWAu.

```
ThWAu
1.0
0.000 3.447 3.447
3.447 0.000 3.447
3.447 3.447 0.000
Th W Au
1 1 1
Cartesian
0.000 0.000 0.000 Th
1.724 1.724 1.724 W
5.171 5.171 5.171 Au
```

Calculated density in kg/m³: 12421
Space group: No. 216

Run Q
Density functional theory data (PBE) for an optimized crystal structure of ThWAu.

```
ThWAu
1.0
0.000 3.316 3.316
3.316 0.000 3.316
3.316 3.316 0.000
Th W Au
1 1 1
Cartesian
0.000 0.000 0.000 Th
1.658 1.658 1.658 W
3.316 3.316 3.316 Au
```

Calculated density in kg/m³: 13953
Space group: No. 216

Which structure is the least stable? The one labeled run P.

Run P
Density functional theory data (PBE) for an optimized crystal structure of Tl5Au.

```
Tl5Au
1.0
-3.962 3.962 2.783
3.962 -3.962 2.783
3.962 3.962 -2.783
Tl Au
5 1
Cartesian
0.000 0.000 0.000 Tl
2.933 1.269 0.000 Tl
2.694 -1.030 2.783 Tl
1.269 4.992 0.000 Tl
1.030 2.694 2.783 Tl
0.000 0.000 2.783 Au
```

Calculated density in kg/m³: 11581
Space group: No. 87

Run Q
Density functional theory data (PBE) for an optimized crystal structure of Tl5Au.

```
Tl5Au
1.0
7.140 0.000 0.000
0.000 15.102 0.000
0.000 0.000 6.451
Tl Au
20 4
Cartesian
0.418 1.868 0.923 Tl
0.418 5.683 0.923 Tl
0.931 11.326 2.450 Tl
1.119 0.866 4.232 Tl
1.119 6.685 4.232 Tl
2.451 8.417 1.007 Tl
2.451 14.236 1.007 Tl
2.639 3.775 5.675 Tl
3.151 9.418 4.149 Tl
3.151 13.234 4.149 Tl
3.988 1.868 2.302 Tl
3.988 5.683 2.302 Tl
4.501 11.326 0.776 Tl
4.689 0.866 5.444 Tl
4.689 6.685 5.444 Tl
6.021 8.417 2.219 Tl
6.021 14.236 2.219 Tl
6.209 3.775 4.001 Tl
6.721 9.418 5.528 Tl
6.721 13.234 5.528 Tl
1.786 3.775 2.822 Au
1.784 11.326 6.048 Au
5.356 3.775 0.403 Au
5.354 11.326 3.629 Au
```

Calculated density in kg/m³: 11639
Space group: No. 62

Run R
Density functional theory data (PBE) for an optimized crystal structure of Tl5Au.

```
Tl5Au
1.0
-7.497 7.497 3.063
7.497 -7.497 3.063
7.497 7.497 -3.063
Tl Au
20 4
Cartesian
3.748 2.777 -0.766 Tl
6.385 -2.107 1.255 Tl
0.399 2.255 0.205 Tl
9.604 -1.112 1.808 Tl
8.609 2.107 1.255 Tl
5.390 1.112 1.808 Tl
4.720 -3.748 3.828 Tl
5.390 6.385 -0.277 Tl
8.609 5.390 0.277 Tl
2.107 1.112 2.786 Tl
0.399 5.241 1.327 Tl
-1.112 2.107 3.339 Tl
3.748 4.720 2.297 Tl
-2.255 7.098 1.736 Tl
2.255 7.896 1.736 Tl
-0.399 9.752 1.327 Tl
2.777 11.245 0.766 Tl
-0.399 12.738 0.205 Tl
-5.241 7.098 2.858 Tl
5.241 7.896 2.858 Tl
3.748 -1.378 2.297 Au
6.119 3.748 0.766 Au
3.748 8.875 -0.766 Au
1.378 3.748 3.828 Au
```

Calculated density in kg/m³: 11758
Space group: No. 122

Which structure is the least stable? The one labeled run R.

Run P
Density functional theory data (PBE) for an optimized crystal structure of TlAu5.

```
TlAu5
1.0
10.295 -2.831 0.000
10.295 2.831 0.000
-4.383 0.000 8.552
Tl Au
4 20
Cartesian
-1.061 0.000 2.823 Tl
1.969 0.000 4.951 Tl
14.237 0.000 3.601 Tl
17.268 0.000 5.729 Tl
0.000 0.000 0.000 Au
6.480 1.436 2.522 Au
4.100 1.395 7.035 Au
-0.681 0.000 8.446 Au
3.966 0.000 2.686 Au
6.515 0.000 0.038 Au
9.727 1.436 6.029 Au
12.107 1.395 1.517 Au
5.477 0.000 5.031 Au
9.294 0.000 1.054 Au
8.103 0.000 4.276 Au
6.913 0.000 7.498 Au
10.730 0.000 3.521 Au
4.100 -1.395 7.035 Au
6.480 -1.436 2.522 Au
9.692 0.000 8.514 Au
12.241 0.000 5.866 Au
16.888 0.000 0.106 Au
12.107 -1.395 1.517 Au
9.727 -1.436 6.029 Au
```

Calculated density in kg/m³: 15846
Space group: No. 12

Run Q
Density functional theory data (PBE) for an optimized crystal structure of TlAu5.

```
TlAu5
1.0
5.608 0.000 0.000
-2.804 4.857 0.000
0.000 0.000 4.690
Tl Au
1 5
Cartesian
0.000 0.000 0.000 Tl
-1.402 2.429 2.345 Au
0.000 3.238 0.000 Au
2.804 0.000 2.345 Au
1.402 2.429 2.345 Au
2.804 1.619 0.000 Au
```

Calculated density in kg/m³: 15457
Space group: No. 191

Which structure is the least stable? The one labeled run P.

Run P
Density functional theory data (PBE) for an optimized crystal structure of TlAu17.

```
TlAu17
1.0
10.080 0.000 0.000
0.000 5.789 0.000
-0.353 0.000 28.614
Tl Au
4 68
Cartesian
0.000 0.000 0.000 Tl
0.006 2.895 1.156 Tl
1.499 2.895 7.724 Tl
6.537 2.895 7.684 Tl
0.625 1.465 11.214 Au
0.625 4.324 11.214 Au
0.552 1.446 18.558 Au
0.552 4.343 18.558 Au
0.496 1.460 25.952 Au
0.496 4.329 25.952 Au
1.484 0.000 8.790 Au
1.414 0.000 16.090 Au
1.411 2.895 16.107 Au
1.354 0.000 23.448 Au
1.354 2.895 23.448 Au
2.278 1.450 13.652 Au
2.278 4.339 13.652 Au
2.214 1.449 20.998 Au
2.214 4.340 20.998 Au
2.214 1.470 28.349 Au
2.214 4.320 28.349 Au
3.132 0.000 11.225 Au
3.130 2.895 11.175 Au
3.072 0.000 18.549 Au
3.073 2.895 18.547 Au
3.014 0.000 25.863 Au
3.017 2.895 25.875 Au
4.018 1.449 8.776 Au
4.018 4.340 8.776 Au
3.934 1.445 16.107 Au
3.934 4.344 16.107 Au
3.878 1.450 23.440 Au
3.878 4.339 23.440 Au
4.788 0.000 13.656 Au
4.800 2.895 13.670 Au
4.732 0.000 21.001 Au
4.738 2.895 21.001 Au
4.683 0.000 28.381 Au
4.686 2.895 28.388 Au
5.667 1.467 11.210 Au
5.667 4.323 11.210 Au
5.595 1.444 18.555 Au
5.595 4.345 18.555 Au
5.553 1.448 25.874 Au
5.553 4.341 25.874 Au
6.526 0.000 8.787 Au
6.451 0.000 16.094 Au
6.457 2.895 16.104 Au
6.407 0.000 23.445 Au
6.410 2.895 23.465 Au
7.317 1.450 13.652 Au
7.317 4.339 13.652 Au
7.154 1.464 28.377 Au
7.154 4.325 28.377 Au
7.258 1.448 21.015 Au
7.258 4.342 21.015 Au
8.173 0.000 11.226 Au
8.172 2.895 11.173 Au
8.110 0.000 18.563 Au
8.112 2.895 18.563 Au
8.087 0.000 25.919 Au
8.113 2.895 26.000 Au
9.046 1.449 8.772 Au
9.046 4.340 8.772 Au
8.972 1.448 16.115 Au
8.972 4.342 16.115 Au
8.922 1.453 23.480 Au
8.922 4.336 23.480 Au
9.827 0.000 13.662 Au
9.836 2.895 13.674 Au
9.770 0.000 21.024 Au
9.777 2.895 21.010 Au
```

Calculated density in kg/m³: 14132
Space group: No. 6

Run Q
Density functional theory data (PBE) for an optimized crystal structure of TlAu17.

```
TlAu17
1.0
5.787 0.000 0.000
-2.894 5.012 0.000
0.000 0.000 31.913
Tl Au
2 34
Cartesian
0.000 3.341 10.848 Tl
2.894 1.671 21.065 Tl
0.000 0.000 0.000 Au
0.000 0.000 7.395 Au
0.000 0.000 24.518 Au
-1.447 2.506 0.000 Au
-1.434 2.514 7.386 Au
0.000 1.667 4.928 Au
-1.450 4.178 4.928 Au
0.000 1.669 29.455 Au
0.000 1.674 22.058 Au
-1.444 4.175 22.058 Au
-1.448 4.177 29.455 Au
1.444 0.834 26.985 Au
1.446 0.835 2.458 Au
0.000 3.341 2.482 Au
0.000 3.341 27.016 Au
1.450 0.837 9.855 Au
1.434 2.514 7.386 Au
0.000 4.996 7.386 Au
2.894 0.000 0.000 Au
1.447 2.506 0.000 Au
2.894 0.015 24.527 Au
1.460 2.498 24.527 Au
1.444 4.175 22.058 Au
2.894 1.671 4.897 Au
2.894 1.671 29.431 Au
1.448 4.177 29.455 Au
1.450 4.178 4.928 Au
4.341 0.835 2.458 Au
4.337 0.837 9.855 Au
2.894 3.338 9.855 Au
2.894 3.342 2.458 Au
4.343 0.834 26.985 Au
2.894 3.345 26.985 Au
4.327 2.498 24.527 Au
```

Calculated density in kg/m³: 12748
Space group: No. 164

Which structure is the least stable? The one labeled run P.

Run P
Density functional theory data (PBE) for an optimized crystal structure of TlAu9.

```
TlAu9
1.0
2.998 0.000 0.000
0.000 3.915 0.000
0.000 0.000 39.166
Tl Au
2 18
Cartesian
0.750 0.979 4.575 Tl
2.249 2.936 34.591 Tl
0.750 0.979 8.086 Au
0.750 0.979 11.158 Au
0.750 0.979 14.224 Au
0.750 0.979 17.289 Au
0.750 0.979 20.351 Au
0.750 0.979 23.408 Au
0.750 0.979 26.468 Au
0.750 0.979 29.527 Au
0.750 0.979 32.618 Au
2.249 2.936 6.548 Au
2.249 2.936 9.638 Au
2.249 2.936 12.698 Au
2.249 2.936 15.757 Au
2.249 2.936 18.815 Au
2.249 2.936 21.876 Au
2.249 2.936 24.942 Au
2.249 2.936 28.008 Au
2.249 2.936 31.080 Au
```

Calculated density in kg/m³: 14281
Space group: No. 59

Run Q
Density functional theory data (PBE) for an optimized crystal structure of TlAu9.

```
TlAu9
1.0
2.999 0.000 0.000
0.000 2.999 0.000
0.000 0.000 52.644
Tl Au
2 18
Cartesian
0.750 0.750 6.853 Tl
2.249 2.249 45.791 Tl
0.750 0.750 11.378 Au
0.750 0.750 15.412 Au
0.750 0.750 19.402 Au
0.750 0.750 23.362 Au
0.750 0.750 27.308 Au
0.750 0.750 31.260 Au
0.750 0.750 35.232 Au
0.750 0.750 39.240 Au
0.750 0.750 43.320 Au
2.249 2.249 9.324 Au
2.249 2.249 13.404 Au
2.249 2.249 17.412 Au
2.249 2.249 21.384 Au
2.249 2.249 25.336 Au
2.249 2.249 29.282 Au
2.249 2.249 33.242 Au
2.249 2.249 37.232 Au
2.249 2.249 41.266 Au
```

Calculated density in kg/m³: 13870
Space group: No. 129

Which structure is the least stable? The one labeled run Q.

Run P
Density functional theory data (PBE) for an optimized crystal structure of TmZrAu.

```
TmZrAu
1.0
4.827 0.000 0.000
-2.414 4.181 0.000
0.000 0.000 6.933
Tm Zr Au
2 2 2
Cartesian
0.000 0.000 1.705 Tm
0.000 0.000 5.228 Tm
2.414 1.394 0.000 Zr
2.414 1.394 3.466 Zr
0.000 2.787 1.932 Au
0.000 2.787 5.001 Au
```

Calculated density in kg/m³: 10851
Space group: No. 187

Run Q
Density functional theory data (PBE) for an optimized crystal structure of TmZrAu.

```
TmZrAu
1.0
0.000 3.316 3.316
3.316 0.000 3.316
3.316 3.316 0.000
Tm Zr Au
1 1 1
Cartesian
0.000 0.000 0.000 Tm
4.974 4.974 4.974 Zr
3.316 3.316 3.316 Au
```

Calculated density in kg/m³: 10407
Space group: No. 216

Which structure is the least stable? The one labeled run Q.